## MgCoHg2 (meta-GGA SCAN)

Data for a crystal of MgCoHg2 relaxed with PBEsol.

It has space group R3m (No. 160, hexagonal axes), with a = 3.0491 Å, b = 3.0491 Å, c = 27.3169 Å, α = 90.00°, β = 90.00° and γ = 120.00°. The asymmetric unit holds Mg at (0.0000, 0.0000, 0.0000), Co at (0.0000, 0.0000, 0.2627), Hg at (0.0000, 0.0000, 0.5214) and Hg at (0.0000, 0.0000, 0.7568).

The formation energy is 0.75 eV per formula unit. For the size of the total moment, the calculation gives 1.77 μB/f.u.